DFT (PBE) results for an optimized crystal structure of Ca2HfBe.

Results
Energy of formation = 0.8113 eV per atom
SG = I-42d, No. 122
Density = 4.30 g/cm3

a = 8.426 Å, b = 8.426 Å, c = 6.632 Å
α = 50.56°, β = 50.56°, γ = 90.00°
Sites, in units of the cell vectors:
Ca1 0.189 0.625 0.250
Ca2 0.875 0.811 0.750
Ca3 0.561 0.125 0.250
Ca4 0.375 0.439 0.750
Be1 0.500 0.500 0.000
Be2 0.250 0.750 0.500
Hf1 0.750 0.250 0.500
Hf2 0.000 0.000 0.000